# Te2PPbN, optimized geometry, DFT PBE
# Offset from the most stable computed form   1158 meV/atom
# Fermi-level density of states   1.054 states/eV/atom
# Formation energy (no corrections)   1.49 eV per atom
# V   29.0 A^3/atom
data_Te2PPbN
_chemical_formula_sum 'Te2 P1 Pb1 N1'
_symmetry_space_group_name_H-M 'P 4/m m m'
_symmetry_Int_Tables_number 123
_symmetry_space_group_name_Hall '-P 4 2'
_cell_length_a 5.877
_cell_length_b 5.877
_cell_length_c 4.204
_cell_angle_alpha 90.00
_cell_angle_beta 90.00
_cell_angle_gamma 90.00
loop_
_atom_site_label
_atom_site_type_symbol
_atom_site_fract_x
_atom_site_fract_y
_atom_site_fract_z
Te1 Te 0.000 0.500 0.000
P1 P 0.000 0.000 0.500
Pb1 Pb 0.500 0.500 0.000
N1 N 0.500 0.500 0.500